The following is a DFT calculation (GGA-PBE) of a geometry-optimized Ce3Tm4S8 structure.

Cell lengths 7.8147, 7.8505, 7.8505 Å; angles 90.07, 119.78, 119.78 degrees
Last column: magnetic moment on the atom in μB.
Positions (direct):
Ce1 0.5000 0.5000 0.0000  0.67
Ce2 0.5000 0.0000 0.5000  0.67
Ce3 0.5000 0.5000 0.5000  0.79
Tm1 0.5000 0.0000 0.0000  0.02
Tm2 0.0000 0.5000 0.0000  0.05
Tm3 0.0000 0.0000 0.0000  0.08
Tm4 0.0000 0.0000 0.5000  0.05
S1 0.4900 0.2390 0.2390  -0.01
S2 0.0000 0.7539 0.2461  -0.01
S3 0.9895 0.2420 0.2420  0.00
S4 0.5000 0.7558 0.2442  -0.01
S5 0.5000 0.2442 0.7558  -0.01
S6 0.0105 0.7580 0.7580  0.00
S7 0.0000 0.2461 0.7539  -0.01
S8 0.5100 0.7610 0.7610  -0.01

## Properties
- Raw formation energy: -194.3 kJ/mol of atoms
- Volume: 343 Å³ per cell



The following is a DFT calculation (GGA-PBE) of a geometry-optimized Ce2Tm2S7 structure.

Cell lengths 3.9483, 8.3692, 8.3692 Å; angles 61.57, 76.36, 76.36 degrees
Last column: magnetic moment on the atom in μB.
Positions (direct):
Ce1 0.7400 0.8441 0.6760  0.23
Ce2 0.2600 0.3240 0.1559  0.23
Tm1 0.0000 0.7914 0.2086  0.00
Tm2 0.5000 0.3312 0.6688  0.00
S1 0.8158 0.0722 0.2963  -0.02
S2 0.8640 0.4176 0.8544  -0.01
S3 0.5000 0.0099 0.9901  -0.01
S4 0.6091 0.4980 0.2838  -0.01
S5 0.3909 0.7162 0.5020  -0.01
S6 0.1842 0.7037 0.9278  -0.02
S7 0.1360 0.1456 0.5824  -0.01

## Properties
- Raw formation energy: -180.4 kJ/mol of atoms
- Volume: 234 Å³ per cell



The following is a DFT calculation (GGA-PBE) of a geometry-optimized CeTm6S8 structure.

Cell lengths 7.7003, 7.7003, 7.7003 Å; angles 60.00, 60.00, 60.00 degrees
Last column: magnetic moment on the atom in μB.
Positions (direct):
Ce1 0.0000 0.0000 0.0000  0.84
Tm1 0.0000 0.5000 0.5000  0.04
Tm2 0.5000 0.0000 0.0000  0.04
Tm3 0.5000 0.5000 0.0000  0.04
Tm4 0.0000 0.0000 0.5000  0.04
Tm5 0.0000 0.5000 0.0000  0.04
Tm6 0.5000 0.0000 0.5000  0.04
S1 0.7500 0.7500 0.7500  0.00
S2 0.2500 0.2500 0.2500  0.00
S3 0.7408 0.2592 0.2592  -0.01
S4 0.2592 0.7408 0.7408  -0.01
S5 0.2592 0.2592 0.7408  -0.01
S6 0.7408 0.7408 0.2592  -0.01
S7 0.7408 0.2592 0.7408  -0.01
S8 0.2592 0.7408 0.2592  -0.01

## Properties
- Raw formation energy: -190.5 kJ/mol of atoms
- Volume: 323 Å³ per cell



The following is a DFT calculation (GGA-PBE) of a geometry-optimized Ce5TmS6 structure.

Cell lengths 6.9067, 6.9089, 6.9106 Å; angles 60.01, 80.39, 70.49 degrees
Last column: magnetic moment on the atom in μB.
Positions (direct):
S1 0.7572 0.0807 0.3245  -0.01
S2 0.2428 0.5948 0.3245  -0.01
S3 0.2461 0.2421 0.0000  -0.01
S4 0.7539 0.7579 0.0000  -0.01
S5 0.7572 0.4052 0.6755  -0.01
S6 0.2428 0.9193 0.6755  -0.01
Tm1 0.0000 0.0000 0.0000  -0.01
Ce1 0.5000 0.1692 0.6616  0.47
Ce2 0.0000 0.3337 0.3326  0.38
Ce3 0.5000 0.5000 0.0000  0.49
Ce4 0.0000 0.6663 0.6674  0.38
Ce5 0.5000 0.8308 0.3384  0.47

## Properties
- Raw formation energy: -195.6 kJ/mol of atoms
- Volume: 269 Å³ per cell



The following is a DFT calculation (GGA-PBE) of a geometry-optimized CeTm2S5 structure.

Cell lengths 5.2661, 7.0417, 13.1376 Å; angles 90.00, 90.00, 111.96 degrees
Positions (direct):
Ce1 0.2008 0.4017 0.2500
Ce2 0.7992 0.5983 0.7500
Tm1 0.1440 0.2881 0.9447
Tm2 0.1440 0.2881 0.5553
Tm3 0.8560 0.7119 0.4447
Tm4 0.8560 0.7119 0.0553
S1 0.3142 0.6283 0.4308
S2 0.3142 0.6283 0.0692
S3 0.0464 0.0927 0.3794
S4 0.0464 0.0927 0.1206
S5 0.2330 0.4661 0.7500
S6 0.7670 0.5339 0.2500
S7 0.9536 0.9073 0.8794
S8 0.9536 0.9073 0.6206
S9 0.6858 0.3717 0.5692
S10 0.6858 0.3717 0.9308

## Properties
- Raw formation energy: -185.1 kJ/mol of atoms
- Volume: 452 Å³ per cell



The following is a DFT calculation (GGA-PBE) of a geometry-optimized CeTm2US8 structure.

Cell lengths 6.2782, 6.0994, 8.2088 Å; angles 90.00, 90.00, 90.97 degrees
Last column: magnetic moment on the atom in μB.
Positions (direct):
Ce1 0.0000 0.0000 0.5000  0.20
Tm1 0.5001 0.5002 0.7486  0.00
Tm2 0.4999 0.4998 0.2514  0.00
U1 0.0000 0.0000 0.0000  0.12
S1 0.1664 0.7840 0.2329  -0.01
S2 0.6821 0.7293 0.0001  -0.01
S3 0.8338 0.2162 0.2329  -0.01
S4 0.8336 0.2160 0.7671  -0.01
S5 0.3179 0.2707 0.9999  -0.01
S6 0.1662 0.7838 0.7671  -0.01
S7 0.6677 0.7212 0.4999  -0.01
S8 0.3323 0.2788 0.5001  -0.01

## Properties
- Raw formation energy: -150.8 kJ/mol of atoms
- Volume: 314 Å³ per cell



The following is a DFT calculation (GGA-PBE) of a geometry-optimized Ce2TmUS5 structure.

Cell lengths 4.8308, 4.8308, 10.3658 Å; angles 90.00, 90.00, 90.00 degrees
Last column: magnetic moment on the atom in μB.
Positions (direct):
Ce1 0.5000 0.5000 0.2943  1.33
Ce2 0.5000 0.5000 0.7057  1.33
Tm1 0.0000 0.0000 0.5000  0.11
U1 0.0000 0.0000 0.0000  2.93
S1 0.0000 0.5000 0.5000  -0.02
S2 0.5000 0.0000 0.5000  -0.02
S3 0.0000 0.0000 0.7520  -0.05
S4 0.0000 0.0000 0.2480  -0.05
S5 0.5000 0.5000 0.0000  -0.05

## Properties
- Raw formation energy: -126.5 kJ/mol of atoms
- Volume: 242 Å³ per cell



The following is a DFT calculation (GGA-PBE) of a geometry-optimized Ce2TmUS4 structure.

Cell lengths 3.9114, 6.8447, 6.8254 Å; angles 109.11, 90.00, 90.00 degrees
Last column: magnetic moment on the atom in μB.
Positions (direct):
Ce1 0.5000 0.0000 0.5000  0.60
Ce2 0.0000 0.5000 0.5000  0.27
Tm1 0.5000 0.5000 0.0000  0.02
U1 0.0000 0.0000 0.0000  2.22
S1 0.5000 0.2496 0.2378  -0.04
S2 0.5000 0.7504 0.7622  -0.04
S3 0.0000 0.2583 0.7646  -0.02
S4 0.0000 0.7417 0.2354  -0.02

## Properties
- Raw formation energy: -178.3 kJ/mol of atoms
- Volume: 173 Å³ per cell



The following is a DFT calculation (GGA-PBE) of a geometry-optimized CeY4Tm3S8 structure.

Cell lengths 7.8089, 7.8037, 7.8085 Å; angles 120.02, 120.00, 90.00 degrees
Positions (direct):
Ce1 0.0000 0.5000 0.0000
Y1 0.5000 0.0000 0.0000
Y2 0.5000 0.0000 0.5000
Y3 0.0000 0.0000 0.0000
Y4 0.0000 0.0000 0.5000
Tm1 0.5000 0.5000 0.0000
Tm2 0.5000 0.5000 0.5000
Tm3 0.0000 0.5000 0.5000
S1 0.2526 0.7476 0.9949
S2 0.2526 0.7476 0.5052
S3 0.2525 0.2576 0.5051
S4 0.7423 0.7476 0.9949
S5 0.2577 0.2524 0.0051
S6 0.7475 0.7424 0.4949
S7 0.7474 0.2524 0.4948
S8 0.7474 0.2524 0.0051

## Properties
- Raw formation energy: -190.8 kJ/mol of atoms
- Volume: 336 Å³ per cell



The following is a DFT calculation (GGA-PBE) of a geometry-optimized Ce4Y3TmS8 structure.

Cell lengths 7.8830, 7.9665, 7.8836 Å; angles 119.66, 120.00, 90.00 degrees
Last column: magnetic moment on the atom in μB.
Positions (direct):
Ce1 0.5000 0.0000 0.0000  0.65
Ce2 0.5000 0.0000 0.5000  0.58
Ce3 0.0000 0.0000 0.0000  0.58
Ce4 0.0000 0.0000 0.5000  0.58
Y1 0.5000 0.5000 0.0000  -0.01
Y2 0.5000 0.5000 0.5000  -0.01
Y3 0.0000 0.5000 0.5000  -0.01
Tm1 0.0000 0.5000 0.0000  -0.01
S1 0.2440 0.7369 0.9930  -0.01
S2 0.2439 0.7369 0.4879  -0.01
S3 0.2535 0.2606 0.5071  -0.01
S4 0.7491 0.7369 0.9930  -0.01
S5 0.2509 0.2631 0.0070  -0.01
S6 0.7465 0.7394 0.4929  -0.01
S7 0.7561 0.2631 0.5121  -0.01
S8 0.7560 0.2631 0.0070  -0.01

## Properties
- Raw formation energy: -195.3 kJ/mol of atoms
- Volume: 352 Å³ per cell



The following is a DFT calculation (GGA-PBE) of a geometry-optimized Ce3YTm3S8 structure.

Cell lengths 7.8090, 7.8090, 7.9319 Å; angles 119.49, 90.00, 120.00 degrees
Last column: magnetic moment on the atom in μB.
Positions (direct):
Ce1 0.0000 0.0000 0.0000  0.88
Ce2 0.0000 0.5000 0.0000  0.88
Ce3 0.5000 0.5000 0.0000  0.89
Y1 0.0000 0.0000 0.5000  0.07
Tm1 0.5000 0.0000 0.5000  0.02
Tm2 0.5000 0.5000 0.5000  0.02
Tm3 0.0000 0.5000 0.5000  0.02
S1 0.2558 0.5116 0.2674  -0.01
S2 0.7442 0.4884 0.7326  -0.01
S3 0.7511 0.5021 0.2627  -0.01
S4 0.2489 0.4979 0.7373  -0.01
S5 0.7510 0.0116 0.2627  -0.01
S6 0.2490 0.9884 0.7373  -0.01
S7 0.2606 0.0116 0.2627  -0.01
S8 0.7394 0.9884 0.7373  -0.01

## Properties
- Raw formation energy: -196.4 kJ/mol of atoms
- Volume: 345 Å³ per cell



The following is a DFT calculation (GGA-PBE) of a geometry-optimized CeY3Tm2S6 structure.

Cell lengths 3.8981, 7.8566, 8.7379 Å; angles 102.81, 102.89, 90.00 degrees
Last column: magnetic moment on the atom in μB.
Positions (direct):
Ce1 0.5000 0.0000 0.0000  0.56
Y1 0.5000 0.5000 0.0000  0.01
Y2 0.8366 0.1652 0.6732  0.01
Y3 0.1634 0.8348 0.3268  0.01
Tm1 0.8353 0.6714 0.6706  0.01
Tm2 0.1647 0.3286 0.3294  0.01
S1 0.3292 0.9096 0.6583  0.00
S2 0.6695 0.5789 0.3391  0.00
S3 0.6708 0.0904 0.3417  0.00
S4 0.0024 0.2588 0.0048  -0.01
S5 0.9976 0.7412 0.9952  -0.01
S6 0.3305 0.4211 0.6609  0.00

## Properties
- Raw formation energy: -191.5 kJ/mol of atoms
- Volume: 254 Å³ per cell



The following is a DFT calculation (GGA-PBE) of a geometry-optimized CeY2TmS6 structure.

Cell lengths 6.9679, 6.9678, 7.3831 Å; angles 61.84, 61.84, 60.00 degrees
Last column: magnetic moment on the atom in μB.
Positions (direct):
Ce1 0.8113 0.8113 0.5662  0.94
Y1 0.5185 0.5185 0.4445  0.01
Y2 0.0145 0.0145 0.9566  0.01
Tm1 0.3172 0.3172 0.0485  0.00
S1 0.6096 0.2213 0.2480  -0.01
S2 0.2213 0.9211 0.2480  -0.01
S3 0.9211 0.6096 0.2480  -0.01
S4 0.3996 0.7169 0.7518  -0.01
S5 0.7169 0.1317 0.7518  -0.01
S6 0.1317 0.3996 0.7518  -0.01

## Properties
- Raw formation energy: -195.1 kJ/mol of atoms
- Volume: 260 Å³ per cell



The following is a DFT calculation (GGA-PBE) of a geometry-optimized Ce2YTmS5 structure.

Cell lengths 4.8585, 4.8585, 10.2680 Å; angles 90.00, 90.00, 90.00 degrees
Last column: magnetic moment on the atom in μB.
Positions (direct):
Ce1 0.5000 0.5000 0.2997  1.30
Ce2 0.5000 0.5000 0.7003  1.30
Y1 0.0000 0.0000 0.0000  0.07
Tm1 0.0000 0.0000 0.5000  0.10
S1 0.0000 0.5000 0.5000  -0.02
S2 0.5000 0.0000 0.5000  -0.02
S3 0.0000 0.0000 0.7543  -0.01
S4 0.0000 0.0000 0.2457  -0.01
S5 0.5000 0.5000 0.0000  -0.01

## Properties
- Raw formation energy: -147.8 kJ/mol of atoms
- Volume: 242 Å³ per cell



The following is a DFT calculation (GGA-PBE) of a geometry-optimized CeYTmS3 structure.

Cell lengths 3.8997, 7.5250, 9.9068 Å; angles 101.61, 90.00, 90.00 degrees
Last column: magnetic moment on the atom in μB.
Positions (direct):
Ce1 0.2500 0.1799 0.2037  0.74
Ce2 0.7500 0.8201 0.7963  0.74
Y1 0.2500 0.1868 0.6190  -0.01
Y2 0.7500 0.8132 0.3810  -0.01
Tm1 0.2500 0.6676 0.0927  -0.02
Tm2 0.7500 0.3324 0.9073  -0.02
S1 0.7500 0.9070 0.1138  -0.01
S2 0.2500 0.0930 0.8862  -0.01
S3 0.2500 0.8073 0.5704  -0.01
S4 0.7500 0.1927 0.4296  -0.01
S5 0.7500 0.4688 0.1807  -0.01
S6 0.2500 0.5312 0.8193  -0.01

## Properties
- Raw formation energy: -172.6 kJ/mol of atoms
- Volume: 285 Å³ per cell



The following is a DFT calculation (GGA-PBE) of a geometry-optimized CeY2Tm3S6 structure.

Cell lengths 3.8793, 7.8434, 8.7261 Å; angles 103.30, 102.84, 90.00 degrees
Last column: magnetic moment on the atom in μB.
Positions (direct):
Ce1 0.5000 0.0000 0.0000  0.62
Y1 0.8355 0.6713 0.6710  0.01
Y2 0.1645 0.3287 0.3290  0.01
Tm1 0.5000 0.5000 0.0000  0.01
Tm2 0.8351 0.1650 0.6701  0.01
Tm3 0.1649 0.8350 0.3299  0.01
S1 0.3283 0.9192 0.6566  0.00
S2 0.6663 0.5874 0.3326  0.00
S3 0.6717 0.0808 0.3434  0.00
S4 0.9984 0.2615 0.9968  -0.01
S5 0.0016 0.7385 0.0032  -0.01
S6 0.3337 0.4126 0.6674  0.00

## Properties
- Raw formation energy: -190.8 kJ/mol of atoms
- Volume: 252 Å³ per cell



The following is a DFT calculation (GGA-PBE) of a geometry-optimized CeYTm2S4 structure.

Cell lengths 3.8775, 6.7559, 6.8141 Å; angles 109.10, 90.00, 90.00 degrees
Last column: magnetic moment on the atom in μB.
Positions (direct):
Ce1 0.5000 0.5000 0.0000  0.56
Y1 0.0000 0.0000 0.0000  0.01
Tm1 0.5000 0.0000 0.5000  0.00
Tm2 0.0000 0.5000 0.5000  0.01
S1 0.5000 0.2496 0.2605  0.00
S2 0.5000 0.7504 0.7395  0.00
S3 0.0000 0.2412 0.7362  -0.01
S4 0.0000 0.7588 0.2638  -0.01

## Properties
- Raw formation energy: -191.3 kJ/mol of atoms
- Volume: 169 Å³ per cell



The following is a DFT calculation (GGA-PBE) of a geometry-optimized Ce3Y3TmS8 structure.

Cell lengths 7.8817, 7.8820, 7.9764 Å; angles 119.61, 90.00, 120.00 degrees
Last column: magnetic moment on the atom in μB.
Positions (direct):
Ce1 0.0000 0.0000 0.0000  0.87
Ce2 0.0000 0.5000 0.0000  0.87
Ce3 0.5000 0.5000 0.0000  0.87
Y1 0.5000 0.0000 0.5000  0.02
Y2 0.5000 0.5000 0.5000  0.02
Y3 0.0000 0.5000 0.5000  0.02
Tm1 0.0000 0.0000 0.5000  0.08
S1 0.2536 0.5073 0.2609  -0.01
S2 0.7464 0.4927 0.7391  -0.01
S3 0.7557 0.5114 0.2628  -0.01
S4 0.2443 0.4886 0.7372  -0.01
S5 0.7557 0.0071 0.2628  -0.01
S6 0.2443 0.9929 0.7372  -0.01
S7 0.2514 0.0071 0.2628  -0.01
S8 0.7486 0.9929 0.7372  -0.01

## Properties
- Raw formation energy: -197.9 kJ/mol of atoms
- Volume: 352 Å³ per cell



The following is a DFT calculation (GGA-PBE) of a geometry-optimized Ce2TmZnS5 structure.

Cell lengths 3.8809, 8.6636, 11.8809 Å; angles 90.00, 90.00, 102.94 degrees
Last column: magnetic moment on the atom in μB.
Positions (direct):
Ce1 0.8700 0.7400 0.8161  1.05
Ce2 0.1149 0.2298 0.6853  1.07
Ce3 0.1300 0.2600 0.3161  1.05
Ce4 0.8851 0.7702 0.1853  1.07
Tm1 0.7978 0.5955 0.5147  0.05
Tm2 0.2023 0.4045 0.0147  0.05
Zn1 0.5489 0.0978 0.9488  0.00
Zn2 0.4511 0.9022 0.4488  0.00
S1 0.3591 0.7181 0.0043  -0.02
S2 0.6863 0.3727 0.8573  -0.01
S3 0.4955 0.9910 0.7720  -0.02
S4 0.2910 0.5821 0.6712  -0.01
S5 0.9558 0.9116 0.5543  0.00
S6 0.6409 0.2819 0.5043  -0.02
S7 0.3137 0.6273 0.3573  -0.01
S8 0.5045 0.0090 0.2720  -0.02
S9 0.7090 0.4179 0.1712  -0.01
S10 0.0442 0.0884 0.0543  0.00

## Properties
- Raw formation energy: -166.9 kJ/mol of atoms
- Volume: 389 Å³ per cell



The following is a DFT calculation (GGA-PBE) of a geometry-optimized Ce3US4 structure.

Cell lengths 5.6238, 5.6238, 5.6238 Å; angles 90.00, 90.00, 90.00 degrees
Last column: magnetic moment on the atom in μB.
Positions (direct):
Ce1 0.0000 0.5000 0.5000  0.20
Ce2 0.5000 0.0000 0.5000  0.20
Ce3 0.5000 0.5000 0.0000  0.20
U1 0.0000 0.0000 0.0000  2.29
S1 0.5000 0.0000 0.0000  -0.03
S2 0.0000 0.5000 0.0000  -0.03
S3 0.0000 0.0000 0.5000  -0.03
S4 0.5000 0.5000 0.5000  0.00

## Properties
- Raw formation energy: -178.9 kJ/mol of atoms
- Volume: 178 Å³ per cell
- E above lowest polymorph: 0.0069 eV/atom